VASP calculation (PBE) on ScGa2Pt2 after structural relaxation.

It has space group P4/mbm (No. 127), with a = 7.6458 Å, b = 7.6458 Å, c = 2.8119 Å, α = 90.00°, β = 90.00° and γ = 90.00°. Symmetry generates all atoms from Sc at (0.0000, 0.0000, 0.0000), Ga at (0.1272, 0.3728, 0.0000) and Pt at (0.1713, 0.6713, 0.5000).

The theoretical density is 11.61 g cm⁻³. The formation energy is -340 kJ/mol of formula units.